The following is a PBE with a Hubbard U calculation of crystalline Hf2NbVO at its relaxed geometry, from Alexandria via LeMat-Bulk.

```
Hf2NbVO
1.0
-5.287 0.985 0.011
-0.063 -0.381 3.834
0.981 5.260 0.539
V Nb Hf O
1 1 2 1
Cartesian
-2.184 2.932 2.192
0.000 0.000 0.000
0.491 2.630 0.269
-2.643 0.493 0.005
-0.032 -0.191 1.917
```

Properties
- E: -7.801 eV per atom